Below is a geometry-optimized Ag2WAu structure, with properties calculated at the PBE level.

Calculated values
**Final energy**: -5.156 eV/atom
**E_form**: 0.33 eV/atom
**SG**: P4mm
**Relative energy among the computed polymorphs**: 0 meV/atom

Unit cell a=2.8164 b=2.8164 c=8.6488 alpha=90.00 beta=90.00 gamma=90.00
With the nearest neighbours (Å) after each atom.
Element x y z (fractional)
Ag 0.0000 0.0000 0.0000  8 Ag 2.82-2.97, 4 W 2.92
Ag 0.5000 0.5000 0.2540  8 Ag 2.82-2.97, 4 Au 2.99
W 0.5000 0.5000 0.7526  4 W 2.82, 4 Au 2.88, 4 Ag 2.92
Au 0.0000 0.0000 0.5124  4 Au 2.82, 4 W 2.88, 4 Ag 2.99

---

Below is a geometry-optimized Li5InAg8 structure, with properties calculated at the PBE level.

Calculated values
**Final energy**: -2.597 eV/atom
**E_form**: -0.09 eV/atom
**SG**: I-4

Unit cell a=6.8627 b=6.8627 c=6.8627 alpha=109.12 beta=109.12 gamma=110.18
With the nearest neighbours (Å) after each atom.
Element x y z (fractional)
Li 0.0000 0.0000 0.0000  4 Ag 2.50
Li 0.2828 0.6314 0.0898  8 Ag 2.66-2.90
Li 0.3686 0.4584 0.6514  8 Ag 2.66-2.90
Li 0.5416 0.1930 0.9102  8 Ag 2.66-2.90
Li 0.8070 0.7172 0.3486  8 Ag 2.66-2.90
In 0.7500 0.2500 0.5000  8 Ag 2.80-3.06
Ag 0.0247 0.4275 0.2634  5 Li 2.70-2.90, 3 Ag 2.88-2.93
Ag 0.0952 0.1620 0.7447  5 Li 2.50-2.80, 1 In 2.80
Ag 0.1641 0.7613 0.7366  5 Li 2.70-2.90, 3 Ag 2.88-2.93
Ag 0.2387 0.9753 0.4027  5 Li 2.70-2.90, 3 Ag 2.88-2.93
Ag 0.4172 0.3505 0.2553  5 Li 2.50-2.80, 1 In 2.80
Ag 0.5725 0.8359 0.5973  5 Li 2.70-2.90, 3 Ag 2.88-2.93
Ag 0.6495 0.9048 0.0668  5 Li 2.50-2.80, 1 In 2.80
Ag 0.8380 0.5828 0.9332  5 Li 2.50-2.80, 1 In 2.80

---

Below is a geometry-optimized CrPdCCl2 structure, with properties calculated at the PBE level.

Calculated values
**Formation energy from raw total energies**: 0.69 eV per atom
**Final energy**: -4.856 eV/atom
**SG**: P4/mmm

Unit cell a=4.8587 b=4.8587 c=3.7081 alpha=90.00 beta=90.00 gamma=90.00
With the nearest neighbours (Å) after each atom.
Element x y z (fractional)
Cr 0.0000 0.0000 0.0000  2 C 1.85
Pd 0.5000 0.5000 0.5000  8 Cl 3.06
C 0.0000 0.0000 0.5000  2 Cr 1.85
Cl 0.0000 0.5000 0.0000  2 Cr 2.43
Cl 0.5000 0.0000 0.0000  2 Cr 2.43

---

Below is a geometry-optimized Nb2HF8 structure, with properties calculated at the PBE level.

Calculated values
**Final energy**: -6.008 eV/atom
**SG**: C2/m

Unit cell a=6.0425 b=6.0425 c=5.5668 alpha=108.08 beta=108.08 gamma=54.73
With the nearest neighbours (Å) after each atom.
Element x y z (fractional)
Nb 0.2447 0.2447 0.4937  4 F 1.89-2.10
Nb 0.7553 0.7553 0.5063  4 F 1.89-2.10
H 0.5000 0.5000 0.0000  2 F 1.15
F 0.0677 0.0677 0.2615  1 Nb 1.89
F 0.0687 0.5573 0.2804  2 Nb 2.10-2.13
F 0.4294 0.4294 0.7905  1 H 1.15
F 0.4427 0.9313 0.7196  2 Nb 2.10-2.13
F 0.5573 0.0687 0.2804  2 Nb 2.10-2.13
F 0.5706 0.5706 0.2095  1 H 1.15
F 0.9313 0.4427 0.7196  2 Nb 2.10-2.13
F 0.9323 0.9323 0.7385  1 Nb 1.89

---

Below is a geometry-optimized Rb2U2S5 structure, with properties calculated at the PBE level.

Calculated values
**Formation energy from raw total energies**: -1.21 eV per atom
**Final energy**: -6.226 eV/atom
**SG**: C2/m
**Relative energy among the computed polymorphs**: 183 meV/atom

Unit cell a=7.9450 b=7.9450 c=8.1295 alpha=106.69 beta=106.69 gamma=39.39
With the nearest neighbours (Å) after each atom.
Element x y z (fractional)
Rb 0.1129 0.1129 0.3341  4 S 3.31-3.59
Rb 0.8871 0.8871 0.6659  4 S 3.31-3.59
U 0.3501 0.3501 0.1093  5 S 2.46-2.70
U 0.6499 0.6499 0.8907  5 S 2.46-2.70
S 0.1669 0.1669 0.9332  3 U 2.68-2.70
S 0.3553 0.3553 0.4144  1 U 2.46
S 0.5000 0.5000 0.0000  2 U 2.65
S 0.6447 0.6447 0.5856  1 U 2.46
S 0.8331 0.8331 0.0668  3 U 2.68-2.70